DFT (PBE-GGA) results for Ba3Gd2Cl2O5 after structural relaxation.

* energy: -6.59 eV/atom

Cell lengths 4.466, 4.466, 24.961 Å; angles 90.00, 90.00, 90.00 degrees
Space group I4/mmm (No. 139)
Symmetry-distinct sites (fractional):
Ba: 0.000 0.000 0.000
Ba: 0.000 0.000 0.164
Gd: 0.000 0.000 0.413
Cl: 0.000 0.000 0.293
O: 0.000 0.000 0.500
O: 0.000 0.500 0.099